No. 1
VASP calculation (PBE) on a relaxed structure of MnCuRe2.

a b c (Å): 2.6495 3.8005 5.2893
angles (deg): 90.00 90.00 90.00
With the nearest neighbours (Å) after each atom.
Positions (direct):
Mn 0.0000 0.0000 0.0000  2 Cu 2.64, 2 Mn 2.65, 8 Re 2.65
Cu 0.0000 0.0000 0.5000  2 Mn 2.64, 2 Cu 2.65, 8 Re 2.69
Re 0.5000 0.5000 0.2432  4 Re 2.57-2.72, 4 Mn 2.65, 4 Cu 2.69
Re 0.5000 0.5000 0.7568  4 Re 2.57-2.72, 4 Mn 2.65, 4 Cu 2.69

total magnetization = 0.8 μB/f.u.
excess energy over the best structure of this formula in the dataset = 45 meV per atom
SG = Pmmm (47)
DFT formation energy = 82 kJ/mol of formula units

No. 2
VASP calculation (PBE) on a relaxed structure of MnCuRe3.

a b c (Å): 4.4028 4.4028 4.4028
angles (deg): 90.00 90.00 90.00
With the nearest neighbours (Å) after each atom.
Positions (direct):
Mn 0.0000 0.0000 0.0000  6 Re 2.20
Cu 0.5000 0.5000 0.5000  12 Re 3.11
Re 0.0000 0.0000 0.5000  2 Mn 2.20
Re 0.0000 0.5000 0.0000  2 Mn 2.20
Re 0.5000 0.0000 0.0000  2 Mn 2.20

total magnetization = 0.0 μB/f.u.
excess energy over the best structure of this formula in the dataset = 0 meV per atom
SG = Pm-3m (221)
DFT formation energy = 805 kJ/mol of formula units

No. 3
VASP calculation (PBE) on a relaxed structure of MnCuRe2.

a b c (Å): 3.1586 3.1586 5.4287
angles (deg): 90.00 90.00 90.00
With the nearest neighbours (Å) after each atom.
Positions (direct):
Mn 0.0000 0.0000 0.0000  8 Re 2.57, 2 Cu 2.71
Cu 0.0000 0.0000 0.5000  8 Re 2.66, 2 Mn 2.71
Re 0.5000 0.5000 0.2336  1 Re 2.54, 4 Mn 2.57, 4 Cu 2.66
Re 0.5000 0.5000 0.7664  1 Re 2.54, 4 Mn 2.57, 4 Cu 2.66

total magnetization = 1.5 μB/f.u.
excess energy over the best structure of this formula in the dataset = 157 meV per atom
SG = P4/mmm (123)
DFT formation energy = 125 kJ/mol of formula units

No. 4
VASP calculation (PBE) on a relaxed structure of MnCuRe.

a b c (Å): 2.6258 2.6258 11.4911
angles (deg): 90.00 90.00 90.00
With the nearest neighbours (Å) after each atom.
Positions (direct):
Mn 0.0000 0.0000 0.0000  4 Cu 2.62, 4 Mn 2.63, 4 Re 2.68
Mn 0.5000 0.5000 0.5000  4 Cu 2.62, 4 Mn 2.63, 4 Re 2.68
Cu 0.0000 0.0000 0.6604  4 Mn 2.62, 4 Cu 2.63, 4 Re 2.71
Cu 0.5000 0.5000 0.1604  4 Mn 2.62, 4 Cu 2.63, 4 Re 2.71
Re 0.0000 0.0000 0.3323  4 Re 2.63, 4 Mn 2.68, 4 Cu 2.71
Re 0.5000 0.5000 0.8323  4 Re 2.63, 4 Mn 2.68, 4 Cu 2.71

total magnetization = 2.4 μB/f.u.
excess energy over the best structure of this formula in the dataset = 78 meV per atom
SG = I4mm (107)
DFT formation energy = 77 kJ/mol of formula units

No. 5
VASP calculation (PBE) on a relaxed structure of MnCuRe2.

a b c (Å): 8.9041 2.6633 4.6652
angles (deg): 90.00 99.37 90.00
With the nearest neighbours (Å) after each atom.
Positions (direct):
Mn 0.0000 0.0000 0.0000  3 Cu 2.61-2.67, 7 Re 2.64-2.79, 2 Mn 2.66
Mn 0.5000 0.5000 0.0000  3 Cu 2.61-2.67, 7 Re 2.64-2.79, 2 Mn 2.66
Cu 0.2515 0.5000 0.2289  3 Mn 2.61-2.67, 7 Re 2.66-2.72, 2 Cu 2.66
Cu 0.7515 0.0000 0.2289  3 Mn 2.61-2.67, 7 Re 2.66-2.72, 2 Cu 2.66
Re 0.0037 0.5000 0.4887  5 Re 2.62-2.74, 4 Mn 2.64-2.74, 3 Cu 2.68-2.72
Re 0.2604 0.0000 0.7379  5 Re 2.62-2.74, 3 Mn 2.64-2.79, 4 Cu 2.66-2.71
Re 0.5037 0.0000 0.4887  5 Re 2.62-2.74, 4 Mn 2.64-2.74, 3 Cu 2.68-2.72
Re 0.7604 0.5000 0.7379  5 Re 2.62-2.74, 3 Mn 2.64-2.79, 4 Cu 2.66-2.71

total magnetization = 2.0 μB/f.u.
excess energy over the best structure of this formula in the dataset = 51 meV per atom
SG = Cm (8)
DFT formation energy = 84 kJ/mol of formula units

No. 6
VASP calculation (PBE) on a relaxed structure of MnCuRe2.

a b c (Å): 2.8059 2.8059 7.0600
angles (deg): 90.00 90.00 90.00
With the nearest neighbours (Å) after each atom.
Positions (direct):
Mn 0.0000 0.0000 0.0000  4 Cu 2.58, 4 Re 2.66, 4 Mn 2.81
Cu 0.5000 0.5000 0.7671  4 Mn 2.58, 4 Re 2.69, 4 Cu 2.81
Re 0.0000 0.0000 0.5097  4 Cu 2.69, 8 Re 2.70-2.81
Re 0.5000 0.5000 0.2500  4 Mn 2.66, 8 Re 2.70-2.81

total magnetization = 2.7 μB/f.u.
excess energy over the best structure of this formula in the dataset = 68 meV per atom
SG = P4mm (99)
DFT formation energy = 91 kJ/mol of formula units

No. 7
VASP calculation (PBE) on a relaxed structure of MnCuRe4.

a b c (Å): 5.1424 5.1424 5.1424
angles (deg): 60.00 60.00 60.00
With the nearest neighbours (Å) after each atom.
Positions (direct):
Mn 0.0000 0.0000 0.0000  12 Re 3.02, 4 Cu 3.15
Cu 0.7500 0.7500 0.7500  12 Re 3.01, 4 Mn 3.15
Re 0.3752 0.3752 0.3752  6 Re 2.57-2.58
Re 0.3752 0.3752 0.8744  6 Re 2.57-2.58
Re 0.3752 0.8744 0.3752  6 Re 2.57-2.58
Re 0.8744 0.3752 0.3752  6 Re 2.57-2.58

total magnetization = 2.8 μB/f.u.
SG = F-43m (216)
DFT formation energy = 339 kJ/mol of formula units

No. 8
VASP calculation (PBE) on a relaxed structure of MnCuRe.

a b c (Å): 3.0574 4.2343 12.4475
angles (deg): 90.00 90.00 90.00
With the nearest neighbours (Å) after each atom.
Positions (direct):
Mn 0.0000 0.0000 0.0000  2 Re 2.52, 2 Cu 2.54, 4 Mn 2.61
Mn 0.0000 0.5000 0.5000  2 Re 2.52, 2 Cu 2.54, 4 Mn 2.61
Mn 0.5000 0.0000 0.5000  2 Re 2.52, 2 Cu 2.54, 4 Mn 2.61
Mn 0.5000 0.5000 0.0000  2 Re 2.52, 2 Cu 2.54, 4 Mn 2.61
Cu 0.0000 0.0000 0.3368  2 Mn 2.54, 4 Cu 2.61, 2 Re 2.67
Cu 0.0000 0.5000 0.8368  2 Mn 2.54, 4 Cu 2.61, 2 Re 2.67
Cu 0.5000 0.0000 0.8368  2 Mn 2.54, 4 Cu 2.61, 2 Re 2.67
Cu 0.5000 0.5000 0.3368  2 Mn 2.54, 4 Cu 2.61, 2 Re 2.67
Re 0.0000 0.0000 0.6611  2 Mn 2.52, 4 Re 2.61, 2 Cu 2.67
Re 0.0000 0.5000 0.1611  2 Mn 2.52, 4 Re 2.61, 2 Cu 2.67
Re 0.5000 0.0000 0.1611  2 Mn 2.52, 4 Re 2.61, 2 Cu 2.67
Re 0.5000 0.5000 0.6611  2 Mn 2.52, 4 Re 2.61, 2 Cu 2.67

total magnetization = 2.3 μB/f.u.
excess energy over the best structure of this formula in the dataset = 79 meV per atom
SG = Fmm2 (42)
DFT formation energy = 77 kJ/mol of formula units

No. 9
VASP calculation (PBE) on a relaxed structure of MnCuRe2.

a b c (Å): 3.1164 3.1164 5.6779
angles (deg): 90.00 90.00 90.00
With the nearest neighbours (Å) after each atom.
Positions (direct):
Mn 0.0000 0.0000 0.0000  4 Cu 2.50, 5 Re 2.67-2.70
Cu 0.5000 0.5000 0.7908  4 Mn 2.50, 5 Re 2.66-2.75
Re 0.0000 0.0000 0.5297  4 Re 2.63, 4 Cu 2.66, 1 Mn 2.67
Re 0.5000 0.5000 0.2757  4 Re 2.63, 4 Mn 2.70, 2 Cu 2.75-2.92

total magnetization = 2.7 μB/f.u.
excess energy over the best structure of this formula in the dataset = 18 meV per atom
SG = P4mm (99)
DFT formation energy = 72 kJ/mol of formula units

No. 10
VASP calculation (PBE) on a relaxed structure of MnCuRe2.

a b c (Å): 3.8405 3.8405 7.3916
angles (deg): 90.00 90.00 90.00
With the nearest neighbours (Å) after each atom.
Positions (direct):
Mn 0.0000 0.0000 0.0000  8 Re 2.66-2.72, 4 Cu 2.66
Mn 0.5000 0.5000 0.5000  8 Re 2.66-2.72, 4 Cu 2.66
Cu 0.0000 0.5000 0.7500  4 Mn 2.66, 8 Re 2.66-2.72
Cu 0.5000 0.0000 0.2500  4 Mn 2.66, 8 Re 2.66-2.72
Re 0.0000 0.0000 0.5000  4 Re 2.66, 4 Cu 2.66, 4 Mn 2.72
Re 0.0000 0.5000 0.2500  4 Mn 2.66, 4 Re 2.66, 4 Cu 2.72
Re 0.5000 0.0000 0.7500  4 Mn 2.66, 4 Re 2.66, 4 Cu 2.72
Re 0.5000 0.5000 0.0000  4 Re 2.66, 4 Cu 2.66, 4 Mn 2.72

total magnetization = 2.5 μB/f.u.
excess energy over the best structure of this formula in the dataset = 0 meV per atom
SG = I-4m2 (119)
DFT formation energy = 65 kJ/mol of formula units